GGA-PBE ZrSbTe2, relaxed; SG = R3m, No. 160; formation energy from raw total energies = -26.6 kJ per mole of atoms; calculated density = 6.722 g cm⁻³
1.0
-6.474 6.567 -2.702
-8.687 3.956 -1.103
-6.961 6.541 1.044
Zr Sb Te
1 1 2
Direct
0.499 0.499 0.499 Zr
0.756 0.756 0.756 Sb
0.013 0.013 0.013 Te
0.231 0.231 0.231 Te